Material: Sm2ErCd3
Method: DFT, PBE
State: optimized geometry

Structure (POSCAR):
```
Sm2ErCd3
1.0
3.768 0.000 0.000
0.000 3.768 0.000
0.000 0.000 11.424
Sm Er Cd
2 1 3
direct
0.000 0.000 0.170
0.000 0.000 0.830
0.000 0.000 0.500
0.500 0.500 0.000
0.500 0.500 0.343
0.500 0.500 0.657
```

* total energy: -3.105 eV per atom
* symmetry: No. 123
* spin magnetization: 0.9 μB/cell